Compound: CaCrH2O5
Source: Alexandria
Functional: PBE+U
Structure: relaxed

Summary:
Total energy = -6.22 eV per atom
Magnetization = 0.0000 μB/atom

Unit cell a=8.0041 b=8.2892 c=12.8410 alpha=90.00 beta=90.00 gamma=90.00
Last column: nearest neighbours and their distance in Å.
Space group Pbca (No. 61)
Symmetry-distinct sites (fractional):
Ca: 0.2339 0.0923 0.1668 x8  7 O 2.36-2.60
Cr: 0.1275 0.6224 0.8761 x8  4 O 1.64-1.68
H: 0.0209 0.1710 0.8547 x8  1 O 1.00
H: 0.0639 0.6671 0.5349 x8  1 O 0.99
O: 0.0017 0.7235 0.4040 x8  1 Cr 1.67, 1 H 1.81
O: 0.0244 0.0217 0.3109 x8  1 Cr 1.68
O: 0.0899 0.6592 0.6104 x8  2 H 0.99-1.00
O: 0.2078 0.5518 0.9845 x8  1 Cr 1.64
O: 0.2185 0.1831 0.7963 x8  1 Cr 1.68, 1 H 1.75